No. 1
ZrZnCoSi | OQMD | GGA-PBE | optimized geometry; crystal system = cubic; uncorrected energy = -23.1 eV per formula unit
1.0
0.000 3.092 3.092
3.092 0.000 3.092
3.092 3.092 0.000
Co Si Zn Zr
1 1 1 1
Cartesian
4.638 4.638 4.638
0.000 0.000 0.000
3.092 3.092 3.092
1.546 1.546 1.546



No. 2
LaZnSn | OQMD | GGA-PBE | optimized geometry; crystal system = cubic; uncorrected energy = -10.5 eV per formula unit
1.0
0.000 3.641 3.641
3.641 0.000 3.641
3.641 3.641 0.000
La Sn Zn
1 1 1
Cartesian
0.000 0.000 0.000
1.820 1.820 1.820
5.461 5.461 5.461



No. 3
LiNi2Pd | OQMD | GGA-PBE | optimized geometry; crystal system = orthorhombic; uncorrected energy = -18.6 eV per formula unit
1.0
1.153 -3.632 -3.214
0.411 -0.007 4.968
-2.790 -0.592 -4.088
Li Ni Pd
1 2 1
Cartesian
1.543 -3.588 1.729
0.083 -2.170 -1.253
-1.901 -0.683 -1.746
-0.425 -2.077 1.296



No. 4
TcB3 | OQMD | GGA-PBE | optimized geometry; crystal system = monoclinic; uncorrected energy = -31.3 eV per formula unit
1.0
-2.843 1.564 2.527
0.827 -1.836 2.066
4.510 3.499 1.304
B Tc
6 2
Cartesian
-0.121 0.008 1.062
-0.287 -0.153 3.000
0.917 1.149 3.675
1.578 2.078 2.222
2.781 3.380 2.897
2.615 3.220 4.835
1.794 -0.149 2.171
0.701 3.376 3.726